Record 1
Material: CsNpNi2Cl8
Method: DFT, GGA-PBE
State: relaxed

a = 6.4212 Å, b = 6.4212 Å, c = 11.1680 Å
α = 73.29°, β = 73.29°, γ = 60.00°
With the nearest neighbours (Å) after each atom.
Atoms (fractional coordinates):
Cl  0.2737  0.9633  0.1490  1 Ni 2.29
Cl  0.7263  0.0367  0.8510  1 Ni 2.29
Cl  0.1856  0.1856  0.4432  1 Ni 2.17
Cl  0.9633  0.6140  0.1490  1 Ni 2.29
Cl  0.0367  0.3860  0.8510  1 Ni 2.29
Cl  0.8144  0.8144  0.5568  1 Ni 2.17
Cl  0.6140  0.2737  0.1490  1 Ni 2.29
Cl  0.3860  0.7263  0.8510  1 Ni 2.29
Ni  0.7456  0.7456  0.7632  4 Cl 2.17-2.29
Ni  0.2544  0.2544  0.2368  4 Cl 2.17-2.29
Cs  0.5000  0.5000  0.5000  6 Cl 3.76
Np  0.0000  0.0000  0.0000  6 Cl 2.64

Computed properties:
Calculated density, Mg/m³: 3.4
Calculated volume, Å³/cell: 376.2
ΔE_f (raw), eV per atom: -1.17
Symmetry: R-3 (148)

=====

Record 2
Material: CsNiPb2Cl8
Method: DFT, GGA-PBE
State: relaxed

a = 6.5851 Å, b = 7.2278 Å, c = 9.2205 Å
α = 60.66°, β = 90.80°, γ = 89.91°
With the nearest neighbours (Å) after each atom.
Atoms (fractional coordinates):
Cl  0.2390  0.1506  0.0829  1 Ni 2.24
Cl  0.2390  0.8817  0.8939  1 Ni 2.24
Cl  0.0407  0.6664  0.2757  1 Ni 2.51, 1 Pb 2.80
Cl  0.9593  0.3336  0.7243  1 Ni 2.51, 1 Pb 2.80
Cl  0.5079  0.2734  0.4573  2 Pb 2.78-2.88
Cl  0.7610  0.1183  0.1061  1 Ni 2.24
Cl  0.7610  0.8494  0.9171  1 Ni 2.24
Cl  0.4921  0.7266  0.5427  2 Pb 2.78-2.88
Cs  0.0000  0.0000  0.5000  10 Cl 3.63-3.88
Ni  0.0000  0.0000  0.0000  4 Cl 2.24
Pb  0.4608  0.7236  0.2429  4 Cl 2.78-3.05
Pb  0.5392  0.2764  0.7571  4 Cl 2.78-3.05

Computed properties:
Calculated density, Mg/m³: 3.9
Calculated volume, Å³/cell: 382.5
ΔE_f (raw), eV per atom: -1.08
Symmetry: P-1 (2)

=====

Record 3
Material: CsNiPbCl6
Method: DFT, GGA-PBE
State: relaxed

a = 6.8068 Å, b = 6.8067 Å, c = 7.7280 Å
α = 90.00°, β = 90.00°, γ = 60.00°
With the nearest neighbours (Å) after each atom.
Atoms (fractional coordinates):
Ni  0.3333  0.3333  0.5000  6 Cl 2.41
Cl  0.0414  0.3481  0.3157  1 Ni 2.41
Cl  0.6105  0.0414  0.3157  1 Ni 2.41
Cl  0.0414  0.6105  0.6843  1 Ni 2.41
Cl  0.3481  0.6105  0.3157  1 Ni 2.41
Cl  0.6105  0.3481  0.6843  1 Ni 2.41
Cl  0.3481  0.0414  0.6843  1 Ni 2.41
Cs  0.0000  0.0000  0.0000  6 Cl 3.51
Pb  0.6666  0.6667  0.5000  6 Cl 2.78

Computed properties:
Calculated density, Mg/m³: 3.3
Calculated volume, Å³/cell: 310.1
ΔE_f (raw), eV per atom: -1.01
Symmetry: P312 (149)

=====

Record 4
Material: Cs2NiPbCl6
Method: DFT, GGA-PBE
State: relaxed

a = 7.5093 Å, b = 7.5093 Å, c = 7.5076 Å
α = 59.99°, β = 59.99°, γ = 90.00°
With the nearest neighbours (Å) after each atom.
Atoms (fractional coordinates):
Cs  0.7500  0.2500  0.5000  12 Cl 3.76
Cs  0.2500  0.7500  0.5000  12 Cl 3.76
Ni  0.5000  0.5000  0.0000  6 Cl 2.44
Cl  0.7295  0.7295  0.5410  1 Ni 2.44
Cl  0.2705  0.7295  0.0000  1 Ni 2.44
Cl  0.7295  0.2705  0.0000  1 Ni 2.44
Cl  0.7295  0.7295  0.0000  1 Ni 2.44
Cl  0.2705  0.2705  0.4590  1 Ni 2.44
Cl  0.2705  0.2705  0.0000  1 Ni 2.44
Pb  0.0000  0.0000  0.0000  6 Cl 2.87

Computed properties:
Calculated density, Mg/m³: 4.1
Calculated volume, Å³/cell: 299.3
ΔE_f (raw), eV per atom: -1.32
Symmetry: Fm-3m (225)